Computed, not measured: crystalline RbAc2VO5 at its relaxed geometry at the PBE+U level of DFT.

D(E_F) ... 0.0000 states/eV per atom
Raw total energy ... -7.14 eV per atom

Cell lengths 7.2767, 7.2767, 5.8988 Å; angles 90.00, 90.00, 90.00 degrees
Last column: nearest neighbours and their distance in Å.
Space group P4/mbm (No. 127)
Unique sites:
Rb1 0.0000 0.0000 0.0000  10 O 2.95-3.20
Ac1 0.1817 0.3183 0.5000  8 O 2.52-2.75
V1 0.0000 0.5000 0.0000  4 O 1.90
O1 0.0000 0.0000 0.5000  4 Ac 2.67, 2 Rb 2.95
O2 0.1251 0.6251 0.2364  1 V 1.90